Version P
The following is a PBE calculation of crystalline ScIn2Br at its relaxed geometry, from Alexandria via LeMat-Bulk.

Properties
For the density of states at the Fermi level, the calculation gives 8.2 states/eV per cell. The value obtained for the total moment is 0.000 μB/atom. As for the space-group type: I-42d, No. 122. As for the calculated volume: 31.01 Å³/atom.

```
ScIn2Br
1.0
9.675 0.000 0.000
0.000 9.675 0.000
0.000 0.000 5.300
Sc In Br
4 8 4
Cartesian
0.000 0.000 0.000
0.000 4.838 1.325
4.838 0.000 3.975
4.838 4.838 2.650
1.783 2.419 0.663
2.419 6.621 1.988
2.419 7.892 4.638
3.054 2.419 3.313
6.621 7.256 3.313
7.256 1.783 4.638
7.256 3.054 1.988
7.892 7.256 0.663
0.000 0.000 2.650
0.000 4.838 3.975
4.838 0.000 1.325
4.838 4.838 0.000
```

***

Version Q
The following is a PBE calculation of crystalline ScIn2Br at its relaxed geometry, from Alexandria via LeMat-Bulk.

Properties
For the density of states at the Fermi level, the calculation gives 2.6 states/eV per cell. The value obtained for the total moment is 0.043 μB/atom. As for the space-group type: P4/mmm, No. 123. As for the calculated volume: 25.59 Å³/atom.

```
ScIn2Br
1.0
3.547 0.000 0.000
0.000 3.547 0.000
0.000 0.000 8.136
Sc In Br
1 2 1
Cartesian
0.000 0.000 0.000
1.773 1.773 1.823
1.773 1.773 6.313
0.000 0.000 4.068
```

***

Version R
The following is a PBE calculation of crystalline ScIn2Br at its relaxed geometry, from Alexandria via LeMat-Bulk.

Properties
For the density of states at the Fermi level, the calculation gives 3.8 states/eV per cell. The value obtained for the total moment is 0.000 μB/atom. As for the space-group type: I-4m2, No. 119. As for the calculated volume: 24.83 Å³/atom.

```
ScIn2Br
1.0
4.781 0.000 0.000
0.000 4.781 0.000
0.000 0.000 8.692
Sc In Br
2 4 2
Cartesian
0.000 0.000 0.000
2.390 2.390 4.346
0.000 0.000 4.346
0.000 2.390 2.173
2.390 0.000 6.519
2.390 2.390 0.000
0.000 2.390 6.519
2.390 0.000 2.173
```

***

Version S
The following is a PBE calculation of crystalline ScIn2Br at its relaxed geometry, from Alexandria via LeMat-Bulk.

Properties
For the density of states at the Fermi level, the calculation gives 4.2 states/eV per cell. The value obtained for the total moment is 0.000 μB/atom. As for the space-group type: Imm2, No. 44. As for the calculated volume: 26.15 Å³/atom.

```
ScIn2Br
1.0
3.342 0.000 0.000
0.000 5.722 0.000
0.000 0.000 10.937
Sc In Br
2 4 2
Cartesian
0.000 0.000 0.000
1.671 2.861 5.468
0.000 0.000 5.592
0.000 2.861 8.089
1.671 0.000 2.620
1.671 2.861 0.124
0.000 2.861 3.379
1.671 0.000 8.848
```

***

So which one is most stable? That would be version S, about 0.217 eV/atom below the next structure.

***

Version P
The following is a PBE calculation of crystalline ScIn2Br at its relaxed geometry, from Alexandria via LeMat-Bulk.

Properties
For the density of states at the Fermi level, the calculation gives 5.0 states/eV per cell. The value obtained for the total moment is 0.054 μB/atom. As for the space-group type: Immm, No. 71. As for the calculated volume: 27.04 Å³/atom.

```
ScIn2Br
1.0
3.192 0.000 0.000
0.000 4.687 0.000
0.000 0.000 14.460
Sc In Br
2 4 2
Cartesian
0.000 0.000 0.000
1.596 2.343 7.230
0.000 2.343 4.439
0.000 2.343 10.021
1.596 0.000 2.791
1.596 0.000 11.669
0.000 0.000 7.230
1.596 2.343 0.000
```

***

Version Q
The following is a PBE calculation of crystalline ScIn2Br at its relaxed geometry, from Alexandria via LeMat-Bulk.

Properties
For the density of states at the Fermi level, the calculation gives 16.1 states/eV per cell. The value obtained for the total moment is 0.000 μB/atom. As for the space-group type: Fm-3m, No. 225. As for the calculated volume: 27.28 Å³/atom.

```
ScIn2Br
1.0
7.586 0.000 0.000
0.000 7.586 0.000
0.000 0.000 7.586
Sc In Br
4 8 4
Cartesian
0.000 0.000 0.000
0.000 3.793 3.793
3.793 0.000 3.793
3.793 3.793 0.000
1.896 1.896 1.896
1.896 1.896 5.689
1.896 5.689 1.896
1.896 5.689 5.689
5.689 1.896 1.896
5.689 1.896 5.689
5.689 5.689 1.896
5.689 5.689 5.689
0.000 0.000 3.793
0.000 3.793 0.000
3.793 0.000 0.000
3.793 3.793 3.793
```

***

Version R
The following is a PBE calculation of crystalline ScIn2Br at its relaxed geometry, from Alexandria via LeMat-Bulk.

Properties
For the density of states at the Fermi level, the calculation gives 8.7 states/eV per cell. The value obtained for the total moment is 0.119 μB/atom. As for the space-group type: R3m, No. 160. As for the calculated volume: 28.10 Å³/atom.

```
ScIn2Br
1.0
3.527 0.000 0.000
-1.763 3.054 0.000
0.000 0.000 31.308
Sc In Br
3 6 3
Cartesian
0.000 0.000 0.000
0.000 2.036 20.872
1.763 1.018 10.436
0.000 0.000 15.322
0.000 0.000 23.181
0.000 2.036 4.885
0.000 2.036 12.745
1.763 1.018 2.309
1.763 1.018 25.758
0.000 0.000 8.652
0.000 2.036 29.524
1.763 1.018 19.088
```

***

So which one is most stable? That would be version R, about 0.179 eV/atom below the next structure.